1.
The following is a DFT calculation (meta-GGA SCAN) of a crystal of Be3AlSe relaxed with PBEsol.

Unit cell a=4.393 b=4.393 c=4.393 alpha=90.00 beta=90.00 gamma=90.00
Positions (direct):
Be  0.000  0.500  0.000
Be  0.000  0.000  0.500
Be  0.500  0.000  0.000
Al  0.000  0.000  0.000
Se  0.500  0.500  0.500

Summary:
Volume, Å³ per cell: 84.8
Uncorrected energy, eV/atom: -7.085

***

2.
The following is a DFT calculation (meta-GGA SCAN) of a crystal of LiMg2Pb relaxed with PBEsol.

Unit cell a=4.988 b=4.988 c=4.988 alpha=60.00 beta=60.00 gamma=60.00
Positions (direct):
Pb  0.250  0.250  0.250
Mg  0.000  0.000  0.000
Mg  0.750  0.750  0.750
Li  0.500  0.500  0.500

Summary:
Volume, Å³ per cell: 87.8
Uncorrected energy, eV/atom: -22.268